Compound: ZnGaSe2N
Source: the Alexandria database
Functional: GGA-PBEsol
Structure: optimized geometry

abc: 5.0915 5.0915 3.6414
angles: 90.00 90.00 90.00
Positions (direct):
Zn 0.0000 0.0000 0.0000
Ga 0.5000 0.5000 0.5000
Se 0.0000 0.5000 0.0000
Se 0.5000 0.0000 0.0000
N 0.0000 0.0000 0.5000

Calculated values
Energy relative to the elements, uncorrected (meV per atom): 726
Space group: P4/mmm (123)
Size of the total moment (μB per formula unit): 1.9
Calculated total energy (eV/atom): -3.5036